Entry 1:
VASP calculation (PBE) on a geometry-optimized NaTbY4S8 structure.

Lattice parameters (Å, degrees): 8.110 8.110 8.119 60.03 60.03 60.00
Positions (direct):
Na 0.375 0.375 0.876
Tb 0.005 0.005 0.986
Y 0.625 0.625 0.125
Y 0.004 0.487 0.504
Y 0.487 0.004 0.504
Y 0.004 0.004 0.504
S 0.239 0.783 0.738
S 0.783 0.239 0.738
S 0.239 0.239 0.738
S 0.239 0.239 0.283
S 0.758 0.226 0.259
S 0.226 0.758 0.259
S 0.758 0.758 0.259
S 0.758 0.758 0.726

Computed properties:
The value obtained for the formation energy (no corrections) is -1.9629 eV per atom. The calculation puts the density at 3.49 g/cm3.

Entry 2:
VASP calculation (PBE) on a geometry-optimized Na2Tb2ZrS6 structure.

Lattice parameters (Å, degrees): 6.759 6.759 7.128 99.15 99.15 119.46
Positions (direct):
Na 0.832 0.168 0.000
Na 0.168 0.832 0.000
Tb 0.334 0.666 0.500
Tb 0.666 0.334 0.500
Zr 0.000 0.000 0.500
S 0.760 0.760 0.718
S 0.071 0.390 0.719
S 0.240 0.240 0.282
S 0.390 0.071 0.719
S 0.929 0.610 0.281
S 0.610 0.929 0.281

Computed properties:
The value obtained for the formation energy (no corrections) is -1.7482 eV per atom. The calculation puts the density at 4.00 g/cm3.

Entry 3:
VASP calculation (PBE) on a geometry-optimized Na3TbZr2S6 structure.

Lattice parameters (Å, degrees): 6.558 6.558 7.137 98.83 98.83 120.03
Positions (direct):
Na 0.164 0.836 0.500
Na 0.836 0.164 0.500
Na 0.500 0.500 0.500
Tb 0.000 0.000 0.000
Zr 0.333 0.667 0.000
Zr 0.667 0.333 0.000
S 0.924 0.578 0.773
S 0.729 0.729 0.226
S 0.076 0.422 0.227
S 0.578 0.924 0.773
S 0.271 0.271 0.774
S 0.422 0.076 0.227

Computed properties:
The value obtained for the formation energy (no corrections) is -1.5805 eV per atom. The calculation puts the density at 3.96 g/cm3.

Entry 4:
VASP calculation (PBE) on a geometry-optimized Na3Tb2ZrS6 structure.

Lattice parameters (Å, degrees): 6.745 6.745 7.097 99.14 99.14 120.00
Positions (direct):
Na 0.168 0.832 0.500
Na 0.832 0.168 0.500
Na 0.500 0.500 0.500
Tb 0.333 0.667 0.000
Tb 0.667 0.333 0.000
Zr 0.000 0.000 0.000
S 0.924 0.604 0.772
S 0.756 0.756 0.227
S 0.076 0.396 0.228
S 0.604 0.924 0.772
S 0.244 0.244 0.773
S 0.396 0.076 0.228

Computed properties:
The value obtained for the formation energy (no corrections) is -1.6962 eV per atom. The calculation puts the density at 4.20 g/cm3.

Entry 5:
VASP calculation (PBE) on a geometry-optimized Na2TbZrS4 structure.

Lattice parameters (Å, degrees): 3.827 6.688 7.100 108.09 90.00 90.00
Positions (direct):
Na 0.500 0.000 0.500
Na 0.000 0.500 0.500
Tb 0.000 0.000 0.000
Zr 0.500 0.500 0.000
S 0.500 0.255 0.229
S 0.500 0.745 0.771
S 0.000 0.269 0.776
S 0.000 0.731 0.224

Computed properties:
The value obtained for the formation energy (no corrections) is -1.6359 eV per atom. The calculation puts the density at 4.08 g/cm3.

Entry 6:
VASP calculation (PBE) on a geometry-optimized Na3Tb3ZrS8 structure.

Lattice parameters (Å, degrees): 7.892 7.893 8.145 119.00 90.00 120.00
Positions (direct):
Na 0.000 0.000 0.000
Na 0.000 0.500 0.000
Na 0.500 0.500 0.000
Tb 0.500 0.000 0.500
Tb 0.500 0.500 0.500
Tb 0.000 0.500 0.500
Zr 0.000 0.000 0.500
S 0.257 0.515 0.272
S 0.743 0.485 0.728
S 0.769 0.539 0.283
S 0.231 0.461 0.717
S 0.769 0.013 0.283
S 0.231 0.987 0.717
S 0.244 0.013 0.283
S 0.756 0.987 0.717

Computed properties:
The value obtained for the formation energy (no corrections) is -1.7815 eV per atom. The calculation puts the density at 4.07 g/cm3.

Entry 7:
VASP calculation (PBE) on a geometry-optimized Na4Tb3ZrS8 structure.

Lattice parameters (Å, degrees): 7.851 8.096 7.851 119.03 120.00 90.00
Positions (direct):
Na 0.500 0.000 0.000
Na 0.500 0.000 0.500
Na 0.000 0.000 0.000
Na 0.000 0.000 0.500
Tb 0.500 0.500 0.000
Tb 0.500 0.500 0.500
Tb 0.000 0.500 0.500
Zr 0.000 0.500 0.000
S 0.236 0.726 0.990
S 0.236 0.726 0.471
S 0.256 0.269 0.512
S 0.755 0.726 0.990
S 0.245 0.274 0.010
S 0.744 0.731 0.488
S 0.764 0.274 0.529
S 0.764 0.274 0.010

Computed properties:
The value obtained for the formation energy (no corrections) is -1.7307 eV per atom. The calculation puts the density at 4.25 g/cm3.

Entry 8:
VASP calculation (PBE) on a geometry-optimized NaTcS2 structure.

Lattice parameters (Å, degrees): 4.351 4.351 4.351 60.00 60.00 60.00
Positions (direct):
Na 0.000 0.000 0.000
S 0.250 0.250 0.250
S 0.750 0.750 0.750
Tc 0.500 0.500 0.500

Computed properties:
The value obtained for the formation energy (no corrections) is -0.1921 eV per atom. The calculation puts the density at 5.28 g/cm3. Its energy above the lowest structure with this stoichiometry is 1.816 eV/f.u.